## w
A geometry-optimized Sc2InS4 structure, computed with GGA-PBE.

CIF file:
```
data_Sc2InS4
_chemical_formula_sum 'Sc4 In2 S8'
_cell_length_a 7.697
_cell_length_b 7.697
_cell_length_c 7.697
_cell_angle_alpha 120.04
_cell_angle_beta 119.97
_cell_angle_gamma 90.00
_symmetry_space_group_name_H-M 'P 1'
_symmetry_Int_Tables_number 1
loop_
_symmetry_equiv_pos_as_xyz
'x,y,z'
loop_
_atom_site_label
_atom_site_type_symbol
_atom_site_fract_x
_atom_site_fract_y
_atom_site_fract_z
Sc1 Sc 0.000 0.000 0.000
Sc2 Sc 0.500 0.000 0.000
Sc3 Sc 0.500 0.000 0.500
Sc4 Sc 0.500 0.500 0.500
In1 In 0.124 0.374 0.750
In2 In 0.876 0.626 0.250
S1 S 0.261 0.239 0.477
S2 S 0.261 0.784 0.023
S3 S 0.262 0.239 0.023
S4 S 0.285 0.761 0.523
S5 S 0.715 0.239 0.477
S6 S 0.738 0.761 0.977
S7 S 0.739 0.216 0.977
S8 S 0.739 0.761 0.523
```

Computed properties:
Magnetization, μB per atom: 0.000
V, Å³/cell: 322.4
DOS at the Fermi energy, states/eV/cell: 4.78

## x
A geometry-optimized Sc2InS4 structure, computed with GGA-PBE.

CIF file:
```
data_Sc2InS4
_chemical_formula_sum 'Sc2 In1 S4'
_cell_length_a 7.414
_cell_length_b 7.414
_cell_length_c 7.414
_cell_angle_alpha 140.19
_cell_angle_beta 140.19
_cell_angle_gamma 57.56
_symmetry_space_group_name_H-M 'P 1'
_symmetry_Int_Tables_number 1
loop_
_symmetry_equiv_pos_as_xyz
'x,y,z'
loop_
_atom_site_label
_atom_site_type_symbol
_atom_site_fract_x
_atom_site_fract_y
_atom_site_fract_z
Sc1 Sc 0.123 0.123 0.000
Sc2 Sc 0.877 0.877 0.000
In1 In 0.500 0.500 0.000
S1 S 0.000 0.500 0.500
S2 S 0.298 0.298 0.000
S3 S 0.500 0.000 0.500
S4 S 0.702 0.702 0.000
```

Computed properties:
Magnetization, μB per atom: 0.000
V, Å³/cell: 165.6
DOS at the Fermi energy, states/eV/cell: 1.87

Which one is the least stable? From the structures above, x.